# 1
Computed, not measured: crystalline RbAcMg2 at its relaxed geometry at the PBE level of DFT.

Results
* electronic total energy: -1.92 eV per atom
* D(E_F): 4.403 states/eV/f.u.
* SG: P4/mmm (123)
* formation energy: 0.6 eV/f.u.

Unit cell a=4.257 b=4.257 c=9.153 alpha=90.00 beta=90.00 gamma=90.00
Sites, in units of the cell vectors:
Mg (0.000, 0.000, 0.797)
Rb (0.500, 0.500, 0.500)
Mg (0.000, 0.000, 0.203)
Ac (0.500, 0.500, 0.000)



# 2
Computed, not measured: crystalline LiTmHgIr at its relaxed geometry at the PBE level of DFT.

Results
* electronic total energy: -4.25 eV per atom
* D(E_F): 3.140 states/eV/f.u.
* SG: F-43m (216)
* formation energy: -1.5 eV/f.u.

Unit cell a=4.758 b=4.758 c=4.758 alpha=60.00 beta=60.00 gamma=60.00
Sites, in units of the cell vectors:
Tm (0.750, 0.750, 0.750)
Hg (0.500, 0.500, 0.500)
Li (0.250, 0.250, 0.250)
Ir (0.000, 0.000, 0.000)



# 3
Computed, not measured: crystalline SmZr2ScAs4 at its relaxed geometry at the PBE level of DFT.

Results
* electronic total energy: -7.10 eV per atom
* D(E_F): 4.310 states/eV/f.u.
* SG: P2/m (10)
* formation energy: -10.1 eV/f.u.

Unit cell a=3.936 b=6.823 c=6.914 alpha=109.26 beta=90.00 gamma=90.00
Sites, in units of the cell vectors:
As (0.500, 0.757, 0.745)
Sc (0.000, 0.000, 0.000)
Zr (0.500, 0.000, 0.500)
As (0.500, 0.243, 0.255)
Sm (0.500, 0.500, 0.000)
Zr (0.000, 0.500, 0.500)
As (0.000, 0.763, 0.262)
As (0.000, 0.237, 0.738)



# 4
Computed, not measured: crystalline ErAgS2O8 at its relaxed geometry at the PBE level of DFT.

Results
* E_form (uncorrected): -1.773 eV per atom
* electronic total energy: -6.38 eV per atom
* D(E_F): 0.000 states/eV/f.u.
* SG: C2/m (12)

Unit cell a=5.274 b=5.274 c=7.989 alpha=97.49 beta=97.49 gamma=63.69
Sites, in units of the cell vectors:
S (0.323, 0.323, 0.776)
O (0.216, 0.216, 0.903)
O (0.361, 0.796, 0.194)
O (0.204, 0.639, 0.806)
S (0.677, 0.677, 0.224)
O (0.639, 0.204, 0.806)
O (0.784, 0.784, 0.097)
O (0.757, 0.757, 0.398)
O (0.796, 0.361, 0.194)
Er (0.000, 0.000, 0.000)
O (0.243, 0.243, 0.602)
Ag (0.000, 0.000, 0.500)



# 5
Computed, not measured: crystalline LaInH3 at its relaxed geometry at the PBE level of DFT.

Results
* electronic total energy: -3.64 eV per atom
* D(E_F): 1.564 states/eV/f.u.
* SG: Pm-3m (221)
* ΔE to the lowest computed polymorph: 0.0 meV/atom

Unit cell a=4.466 b=4.466 c=4.466 alpha=90.00 beta=90.00 gamma=90.00
Sites, in units of the cell vectors:
In (0.500, 0.500, 0.500)
H (0.000, 0.500, 0.000)
La (0.000, 0.000, 0.000)
H (0.500, 0.000, 0.000)
H (0.000, 0.000, 0.500)



# 6
Computed, not measured: crystalline AlSi2N at its relaxed geometry at the PBE level of DFT.

Results
* E_form (uncorrected): 0.126 eV per atom
* electronic total energy: -5.60 eV per atom
* D(E_F): 0.000 states/eV/f.u.
* SG: I-42d (122)
* ΔE to the lowest computed polymorph: 0.0 meV/atom

Unit cell a=5.089 b=5.089 c=5.937 alpha=64.62 beta=64.62 gamma=90.00
Sites, in units of the cell vectors:
Si (0.540, 0.125, 0.250)
Al (0.750, 0.250, 0.500)
Si (0.875, 0.790, 0.750)
Al (0.000, 0.000, 0.000)
N (0.500, 0.500, 0.000)
N (0.250, 0.750, 0.500)
Si (0.210, 0.625, 0.250)
Si (0.375, 0.460, 0.750)



# 7
Computed, not measured: crystalline V9Ni11Pd4 at its relaxed geometry at the PBE level of DFT.

Results
* electronic total energy: -7.08 eV per atom
* D(E_F): 20.747 states/eV/f.u.
* SG: Cmmm (65)
* formation energy: -3.5 eV/f.u.

Unit cell a=2.616 b=11.072 c=11.072 alpha=109.63 beta=90.00 gamma=90.00
Each line ends with the local moment (μB).
Sites, in units of the cell vectors:
Ni (0.000, 0.796, 0.204)  0.16
Ni (0.000, 0.976, 0.603)  0.00
V (0.500, 0.409, 0.840)  -0.02
Ni (0.000, 0.397, 0.024)  0.00
V (0.500, 0.998, 0.802)  0.40
Ni (0.000, 0.024, 0.397)  0.00
Ni (0.000, 0.000, 0.000)  0.13
V (0.500, 0.500, 0.500)  0.11
Pd (0.500, 0.411, 0.251)  0.00
Ni (0.000, 0.367, 0.633)  0.00
Ni (0.000, 0.603, 0.976)  0.00
Ni (0.000, 0.808, 0.808)  0.00
Pd (0.500, 0.749, 0.589)  0.00
V (0.500, 0.591, 0.160)  -0.02
V (0.500, 0.840, 0.409)  -0.02
Pd (0.500, 0.589, 0.749)  0.00
V (0.500, 0.002, 0.198)  0.40
V (0.500, 0.802, 0.998)  0.40
Ni (0.000, 0.204, 0.796)  0.16
Ni (0.000, 0.633, 0.367)  0.00
V (0.500, 0.160, 0.591)  -0.02
Pd (0.500, 0.251, 0.411)  0.00
V (0.500, 0.198, 0.002)  0.40
Ni (0.000, 0.192, 0.192)  0.00



# 8
Computed, not measured: crystalline K2PdW2 at its relaxed geometry at the PBE level of DFT.

Results
* electronic total energy: -5.04 eV per atom
* D(E_F): 6.362 states/eV/f.u.
* SG: P4/mbm (127)
* formation energy: 8.1 eV/f.u.
* ΔE to the lowest computed polymorph: 0.0 meV/atom

Unit cell a=10.207 b=10.207 c=2.727 alpha=90.00 beta=90.00 gamma=90.00
Each line ends with the local moment (μB).
Sites, in units of the cell vectors:
K (0.792, 0.292, 0.500)  0.00
W (0.920, 0.580, 0.000)  0.06
W (0.580, 0.080, 0.000)  0.06
K (0.292, 0.208, 0.500)  0.00
K (0.208, 0.708, 0.500)  0.00
W (0.080, 0.420, 0.000)  0.06
K (0.708, 0.792, 0.500)  0.00
W (0.420, 0.920, 0.000)  0.06
Pd (0.000, 0.000, 0.000)  0.15
Pd (0.500, 0.500, 0.000)  0.15